A relaxed La2PrSm2Cd crystal. Source: the Alexandria database, functional PBE.

```
La2PrSm2Cd
1.0
-1.896 2.793 9.565
1.896 -2.793 9.565
1.896 2.793 -9.565
La Pr Sm Cd
2 1 2 1
Direct
0.137 0.137 0.000
0.863 0.863 0.000
0.500 0.000 0.500
0.311 0.311 0.000
0.689 0.689 0.000
0.000 0.500 0.500
```

Output
calculated formation energy: 0.00 eV/atom
V: 202.6 Å³ per cell
energy: -4.1600 eV per atom


A relaxed CdGe2Br2 crystal. Source: the Alexandria database, functional PBE.

```
CdGe2Br2
1.0
7.767 0.000 0.000
0.000 7.767 0.000
0.000 0.000 4.715
Cd Ge Br
2 4 4
Direct
0.000 0.000 0.000
0.500 0.500 0.000
0.202 0.298 0.000
0.298 0.798 0.000
0.702 0.202 0.000
0.798 0.702 0.000
0.172 0.672 0.500
0.328 0.172 0.500
0.672 0.828 0.500
0.828 0.328 0.500
```

Output
V: 284.5 Å³ per cell
energy: -2.6899 eV per atom


A relaxed La3GaAu3 crystal. Source: the Alexandria database, functional PBE.

```
La3GaAu3
1.0
5.613 -2.204 0.000
5.613 2.204 0.000
-5.199 0.000 14.892
La Ga Au
6 2 6
Direct
0.034 0.034 0.392
0.098 0.098 0.919
0.247 0.247 0.235
0.753 0.753 0.765
0.902 0.902 0.081
0.966 0.966 0.608
0.260 0.260 0.607
0.740 0.740 0.393
0.362 0.362 0.454
0.377 0.377 0.923
0.472 0.472 0.765
0.528 0.528 0.235
0.623 0.623 0.077
0.638 0.638 0.546
```

Output
calculated formation energy: -0.77 eV/atom
V: 368.4 Å³ per cell
energy: -4.7206 eV per atom


A relaxed LiCaPrSi crystal. Source: the Alexandria database, functional PBE.

```
LiCaPrSi
1.0
0.000 3.654 3.654
3.654 0.000 3.654
3.654 3.654 0.000
Li Ca Pr Si
1 1 1 1
Direct
0.000 0.000 0.000
0.250 0.250 0.250
0.750 0.750 0.750
0.500 0.500 0.500
```

Output
V: 97.6 Å³ per cell
energy: -3.8257 eV per atom


In the order shown, the computed density values come out to 6.8; 4.9; 9.7; 3.7 g cm⁻³.